{
  "formula": "LaPuHf",
  "functional": "GGA-PBE",
  "state": "optimized geometry",
  "lattice_angstrom": [[-3.398, 0.965, 3.558], [-4.786, 0.807, -1.257], [-3.496, -3.415, 1.121]],
  "species": ["Hf", "La", "Pu"],
  "fractional_positions": [[0.000, 0.000, 0.000], [0.250, 0.250, 0.250], [0.750, 0.750, 0.750]],
  "e_form_ev_per_fu": 2.6,
  "spacegroup": "No. 216",
  "relative_energy_ev_per_fu": 0.00,
  "m_tot_mub_per_cell": 5.678,
  "total_energy_ev_per_atom": -8.814
}